[1]
# SrMg2W, optimized geometry, DFT PBE
# Spin magnetization = 0.0000 μB per atom
# Total energy = -3.661 eV per atom
# Calculated formation energy = 0.795 eV/atom
# Offset from the most stable computed form = 213 meV per atom
data_SrMg2W
_symmetry_space_group_name_H-M 'C m m m'
_symmetry_Int_Tables_number 65
_symmetry_space_group_name_Hall '-C 2 2'
_cell_length_a 6.638
_cell_length_b 8.934
_cell_length_c 3.003
_cell_angle_alpha 90.00
_cell_angle_beta 90.00
_cell_angle_gamma 90.00
loop_
_atom_site_label
_atom_site_fract_x
_atom_site_fract_y
_atom_site_fract_z
Sr1 0.000 0.000 0.000
Mg1 0.250 0.250 0.500
W1 0.000 0.500 0.000

***

[2]
# CoTcP2S, optimized geometry, DFT PBE
# Spin magnetization = 0.3501 μB per atom
# Total energy = -5.545 eV per atom
# Raw formation energy = 0.938 eV/atom
# Offset from the most stable computed form = 150 meV per atom
data_CoTcP2S
_symmetry_space_group_name_H-M 'P 4/m m m'
_symmetry_Int_Tables_number 123
_symmetry_space_group_name_Hall '-P 4 2'
_cell_length_a 4.475
_cell_length_b 4.475
_cell_length_c 4.983
_cell_angle_alpha 90.00
_cell_angle_beta 90.00
_cell_angle_gamma 90.00
loop_
_atom_site_label
_atom_site_fract_x
_atom_site_fract_y
_atom_site_fract_z
Co1 0.000 0.000 0.000
Tc1 0.500 0.500 0.500
P1 0.000 0.500 0.500
S1 0.500 0.500 0.000